1.
Here is crystalline Sr2FeBr at its relaxed geometry from Alexandria. Energies are from PBE-GGA.

abc: 7.927 7.927 7.927
angles: 90.00 90.00 90.00
Space group Fm-3m (No. 225)
Symmetry-distinct sites (fractional):
Sr (0.250, 0.250, 0.250) (multiplicity 8)
Fe (0.000, 0.000, 0.000) (multiplicity 4)
Br (0.000, 0.000, 0.500) (multiplicity 4)

- DOS(E_F): 32.549 states/eV/cell
- Raw formation energy: -0.040 eV/atom
- Energy above the lowest structure with this stoichiometry: 259.0 meV/atom



2.
Here is crystalline TbPa2Se5 at its relaxed geometry from Alexandria. Energies are from PBE-GGA.

abc: 8.076 12.476 3.991
angles: 90.00 90.00 90.00
Space group Pbam (No. 55)
Symmetry-distinct sites (fractional):
Tb (0.000, 0.000, 0.000) (multiplicity 2)
Pa (0.023, 0.321, 0.500) (multiplicity 4)
Se (0.000, 0.500, 0.000) (multiplicity 2)
Se (0.175, 0.107, 0.500) (multiplicity 4)
Se (0.185, 0.803, 0.000) (multiplicity 4)

- DOS(E_F): 17.719 states/eV/cell
- Raw formation energy: -1.452 eV/atom
- Energy above the lowest structure with this stoichiometry: 0.0 meV/atom



3.
Here is crystalline ScTiO2 at its relaxed geometry from Alexandria. Energies are from PBE-GGA.

abc: 2.9470 2.9470 16.8158
angles: 90.00 90.00 120.00
Space group R3m (No. 160, hexagonal axes)
Symmetry-distinct sites (fractional):
Sc (0.0000, 0.0000, 0.0000) (multiplicity 3)
Ti (0.0000, 0.0000, 0.8303) (multiplicity 3)
O (0.0000, 0.0000, 0.4185) (multiplicity 3)
O (0.0000, 0.0000, 0.5788) (multiplicity 3)

- DOS(E_F): 7.877 states/eV/cell
- Raw formation energy: -2.549 eV/atom
- Energy above the lowest structure with this stoichiometry: 113.0 meV/atom



Q: The highest energy above the lowest structure with this stoichiometry belongs to which entry?
A: Sr2FeBr



Q: Which value of raw formation energy does entry 1 give?
A: -0.040 eV/atom